Record 1
Material: Dy2Sn2O7
Method: DFT, GGA-PBEsol
State: relaxed

```
Dy2Sn2O7
1.0
0.0000 5.1856 5.1856
5.1856 0.0000 5.1856
5.1856 5.1856 0.0000
Dy Sn O
4 4 14
direct
0.0000 0.0000 0.0000
0.0000 0.0000 0.5000
0.0000 0.5000 0.0000
0.5000 0.0000 0.0000
0.0000 0.5000 0.5000
0.5000 0.0000 0.5000
0.5000 0.5000 0.0000
0.5000 0.5000 0.5000
0.1250 0.1250 0.1250
0.1600 0.1600 0.5900
0.1600 0.5900 0.1600
0.1600 0.5900 0.5900
0.4100 0.4100 0.8400
0.4100 0.8400 0.4100
0.4100 0.8400 0.8400
0.5900 0.1600 0.1600
0.5900 0.1600 0.5900
0.5900 0.5900 0.1600
0.8400 0.4100 0.4100
0.8400 0.4100 0.8400
0.8400 0.8400 0.4100
0.8750 0.8750 0.8750
```

Output
raw formation energy	-29.1	eV/f.u.
mass density	8.03	g cm⁻³



Record 2
Material: DyTa7O19
Method: DFT, GGA-PBEsol
State: relaxed

```
DyTa7O19
1.0
6.1978 0.0000 0.0000
-3.0989 5.3675 0.0000
0.0000 0.0000 19.9069
Dy Ta O
2 14 38
direct
0.0000 0.0000 0.0000
0.0000 0.0000 0.5000
0.3326 0.0286 0.1555
0.3326 0.0286 0.3445
0.3326 0.3040 0.6555
0.3326 0.3040 0.8445
0.6667 0.3333 0.0000
0.6667 0.3333 0.5000
0.6960 0.0286 0.6555
0.6960 0.0286 0.8445
0.6960 0.6674 0.1555
0.6960 0.6674 0.3445
0.9714 0.3040 0.1555
0.9714 0.3040 0.3445
0.9714 0.6674 0.6555
0.9714 0.6674 0.8445
0.0000 0.0000 0.1296
0.0000 0.0000 0.3704
0.0000 0.0000 0.6296
0.0000 0.0000 0.8704
0.0851 0.4188 0.6531
0.0851 0.4188 0.8469
0.0851 0.6663 0.1531
0.0851 0.6663 0.3469
0.2864 0.0442 0.2500
0.2864 0.2421 0.7500
0.3337 0.4188 0.1531
0.3337 0.4188 0.3469
0.3337 0.9149 0.6531
0.3337 0.9149 0.8469
0.3770 0.0966 0.0557
0.3770 0.0966 0.4443
0.3770 0.2804 0.5557
0.3770 0.2804 0.9443
0.5812 0.6663 0.6531
0.5812 0.6663 0.8469
0.5812 0.9149 0.1531
0.5812 0.9149 0.3469
0.6667 0.3333 0.1675
0.6667 0.3333 0.3325
0.6667 0.3333 0.6675
0.6667 0.3333 0.8325
0.7196 0.0966 0.5557
0.7196 0.0966 0.9443
0.7196 0.6230 0.0557
0.7196 0.6230 0.4443
0.7579 0.0442 0.7500
0.7579 0.7136 0.2500
0.9034 0.2804 0.0557
0.9034 0.2804 0.4443
0.9034 0.6230 0.5557
0.9034 0.6230 0.9443
0.9558 0.2421 0.2500
0.9558 0.7136 0.7500
```

Output
raw formation energy	-79.8	eV/f.u.
mass density	8.69	g cm⁻³



Record 3
Material: DyTaO4
Method: DFT, GGA-PBEsol
State: relaxed

```
DyTaO4
1.0
5.1017 0.0000 0.0000
0.0000 5.4078 0.0000
-0.6176 0.0000 5.2468
Dy Ta O
2 2 8
direct
0.0000 0.2352 0.2500
0.0000 0.7648 0.7500
0.5000 0.3048 0.7500
0.5000 0.6952 0.2500
0.2498 0.0789 0.5992
0.2498 0.9211 0.0992
0.2660 0.4406 0.9900
0.2660 0.5594 0.4900
0.7340 0.4406 0.5100
0.7340 0.5594 0.0100
0.7502 0.0789 0.9008
0.7502 0.9211 0.4008
```

Output
raw formation energy	-19.9	eV/f.u.
mass density	9.35	g cm⁻³



Record 4
Material: DyTaO4
Method: DFT, GGA-PBEsol
State: relaxed

```
DyTaO4
1.0
3.4667 -5.4455 0.0000
3.4667 5.4455 0.0000
-3.2738 0.0000 3.8318
Dy Ta O
2 2 8
direct
0.1319 0.8681 0.7500
0.8681 0.1319 0.2500
0.3996 0.6004 0.2500
0.6004 0.3996 0.7500
0.1314 0.5539 0.3405
0.2266 0.2872 0.7830
0.2872 0.2266 0.2830
0.4461 0.8686 0.1595
0.5539 0.1314 0.8405
0.7128 0.7734 0.7170
0.7734 0.7128 0.2170
0.8686 0.4461 0.6595
```

Output
raw formation energy	-19.8	eV/f.u.
mass density	9.35	g cm⁻³



Record 5
Material: Dy2Te5O13
Method: DFT, GGA-PBEsol
State: relaxed

```
Dy2Te5O13
1.0
6.9085 0.0000 0.0000
2.2138 8.2576 0.0000
0.4937 0.0522 10.4148
Dy Te O
4 10 26
direct
0.9995 0.2366 0.2371
0.0005 0.7634 0.7629
0.4461 0.9704 0.8205
0.5539 0.0296 0.1795
0.1278 0.8472 0.1010
0.1510 0.3017 0.6347
0.2676 0.8983 0.4778
0.2915 0.3829 0.9679
0.4340 0.4056 0.3061
0.5660 0.5944 0.6939
0.7085 0.6171 0.0321
0.7324 0.1017 0.5222
0.8490 0.6983 0.3653
0.8722 0.1528 0.8990
0.0380 0.8511 0.5611
0.0498 0.5169 0.6913
0.0600 0.3178 0.0309
0.0665 0.7747 0.2814
0.1230 0.9848 0.8980
0.2380 0.9979 0.1832
0.3147 0.2320 0.2918
0.3253 0.2423 0.7736
0.3298 0.7233 0.7756
0.3314 0.0180 0.6149
0.3456 0.4874 0.1250
0.4557 0.6932 0.5138
0.4720 0.1747 0.9956
0.5280 0.8253 0.0044
0.5443 0.3068 0.4862
0.6544 0.5126 0.8750
0.6686 0.9820 0.3851
0.6702 0.2767 0.2244
0.6747 0.7577 0.2264
0.6853 0.7680 0.7082
0.7620 0.0021 0.8168
0.8770 0.0152 0.1020
0.9335 0.2253 0.7186
0.9400 0.6822 0.9691
0.9502 0.4831 0.3087
0.9620 0.1489 0.4389
```

Output
raw formation energy	-35.2	eV/f.u.
mass density	6.55	g cm⁻³



Record 6
Material: Dy2TeO2
Method: DFT, GGA-PBEsol
State: relaxed

```
Dy2TeO2
1.0
-1.9395 1.9395 6.1471
1.9395 -1.9395 6.1471
1.9395 1.9395 -6.1471
Dy Te O
2 1 2
direct
0.1618 0.1618 0.0000
0.8382 0.8382 0.0000
0.5000 0.5000 0.0000
0.2500 0.7500 0.5000
0.7500 0.2500 0.5000
```

Output
raw formation energy	-15.1	eV/f.u.
mass density	8.70	g cm⁻³



- Which value of raw formation energy does entry 3 give?
  -19.9 eV/f.u.